The following is a GGA+U calculation of a relaxed structure of LiFeF3, from Alexandria via LeMat-Bulk.

a b c (Å): 2.953 9.720 7.011
angles (deg): 90.00 90.00 90.00
Space group Cmcm (No. 63)
Inequivalent atoms, fractional coordinates:
Li1 0.000 0.000 0.000
Fe1 0.000 0.255 0.250
F1 0.000 0.091 0.750
F2 0.000 0.354 0.567

energy relative to the lowest polymorph listed for this composition = 71 meV/atom
DOS at the Fermi energy = 0.00 states/eV/cell